Model A:
Compound: Y2VCo
Source: Alexandria
Functional: PBE
Structure: optimized geometry

```
Y2VCo
1.0
-4.975 -5.810 -0.384
3.365 -3.281 6.046
-2.695 -3.050 4.694
Y Co V
4 2 2
Direct
0.673 0.125 0.250
0.077 0.625 0.250
0.375 0.327 0.750
0.875 0.923 0.750
0.750 0.250 0.500
0.000 0.000 0.000
0.250 0.750 0.500
0.500 0.500 0.000
```

DOS(E_F) = 13.82 states/eV/cell


Model B:
Compound: Y2VCo
Source: Alexandria
Functional: PBE
Structure: optimized geometry

```
Y2VCo
1.0
0.000 3.468 3.468
3.468 0.000 3.468
3.468 3.468 0.000
Co V Y
1 1 2
Direct
0.500 0.500 0.500
0.000 0.000 0.000
0.250 0.250 0.250
0.750 0.750 0.750
```

DOS(E_F) = 3.40 states/eV/cell


Q: Which of them is the most stable? A: model B.


Model A:
Compound: VZn2Co
Source: Alexandria
Functional: PBE
Structure: optimized geometry

```
VZn2Co
1.0
-1.617 1.601 3.496
-4.080 0.840 0.217
-2.484 -2.331 2.408
Zn Co V
2 1 1
Direct
0.250 0.250 0.250
0.750 0.750 0.750
0.500 0.500 0.500
0.000 0.000 0.000
```

DOS(E_F) = 4.60 states/eV/cell


Model B:
Compound: VZn2Co
Source: Alexandria
Functional: PBE
Structure: optimized geometry

```
VZn2Co
1.0
2.589 0.000 0.000
0.000 2.589 0.000
0.000 0.000 7.732
Zn V Co
2 1 1
Direct
0.000 0.000 0.235
0.000 0.000 0.765
0.500 0.500 0.500
0.500 0.500 0.000
```

DOS(E_F) = 4.75 states/eV/cell


Q: Which of them is the most stable? A: model B.


Model A:
Compound: VZn2Co
Source: Alexandria
Functional: PBE
Structure: optimized geometry

```
VZn2Co
1.0
-0.997 1.806 -1.571
-2.563 0.122 -0.374
-1.975 6.606 6.705
V Zn Co
1 2 1
Direct
0.000 0.000 0.000
0.907 0.907 0.279
0.093 0.093 0.721
0.500 0.500 0.500
```

DOS(E_F) = 4.46 states/eV/cell


Model B:
Compound: VZn2Co
Source: Alexandria
Functional: PBE
Structure: optimized geometry

```
VZn2Co
1.0
4.056 0.000 0.000
0.000 3.569 0.000
0.000 0.000 3.569
Zn Co V
2 1 1
Direct
0.000 0.000 0.500
0.000 0.500 0.000
0.500 0.500 0.500
0.500 0.000 0.000
```

DOS(E_F) = 4.35 states/eV/cell


Q: Which of them is the most stable? A: model B.